# DyY7Tm2 | the Alexandria database | PBE | optimized geometry
data_DyY7Tm2
_chemical_formula_sum 'Dy1 Y7 Tm2'
_space_group_name_H-M_alt 'P 1'
_space_group_IT_number 1
_cell_length_a 15.112
_cell_length_b 15.112
_cell_length_c 3.506
_cell_angle_alpha 90.10
_cell_angle_beta 90.10
_cell_angle_gamma 156.51
loop_
_space_group_symop_operation_xyz
'x,y,z'
loop_
_atom_site_label
_atom_site_fract_x
_atom_site_fract_y
_atom_site_fract_z
_atom_site_occupancy
Dy1 0.000 0.000 0.000 1
Y1 0.146 0.347 0.263 1
Y2 0.305 0.695 0.000 1
Y3 0.347 0.146 0.263 1
Y4 0.500 0.500 0.500 1
Y5 0.653 0.854 0.737 1
Y6 0.695 0.305 0.000 1
Y7 0.854 0.653 0.737 1
Tm1 0.206 0.794 0.500 1
Tm2 0.794 0.206 0.500 1
# - calculated volume (Å³ per atom) = 31.9
# - density (kg/m3) = 5841
# - magnetization (μB per atom) = 0.000
# - space-group type = No. 12
# - ΔH_f (0 K) (eV per atom) = 0.13